Entry 1:
The following is a PBE-GGA calculation of an optimized crystal structure of CaMnCu2Rh, from the Alexandria database.

## Properties
**ΔH_f (0 K)**: 99.5 kJ/mol of atoms
**V**: 101 Å³ per cell
**Magnetization**: 4.2 μB per formula unit
**Crystal system**: tetragonal
**SG**: No. 123

abc: 4.4721 5.0642 4.4721
angles: 90.00 90.00 90.00
Closest atoms and distances in Å follow each position.
Sites, in units of the cell vectors:
Ca 0.0000 0.5000 0.0000  2 Mn 2.53
Cu 0.5000 0.0000 0.0000  2 Mn 2.24
Rh 0.5000 0.5000 0.5000  4 Ca 3.16, 8 Cu 3.38
Mn 0.0000 0.0000 0.0000  4 Cu 2.24
Cu 0.0000 0.0000 0.5000  2 Mn 2.24

Entry 2:
The following is a PBE-GGA calculation of an optimized crystal structure of CaMnCuSe3, from the Alexandria database.

## Properties
**V**: 254 Å³ per cell
**Magnetization**: 4.0 μB per formula unit
**Crystal system**: monoclinic
**SG**: No. 11
**Formation energy (no corrections)**: -832 meV per atom

abc: 3.8995 7.7785 8.6307
angles: 104.34 90.00 90.00
Closest atoms and distances in Å follow each position.
Sites, in units of the cell vectors:
Se 0.2500 0.5623 0.8558  3 Mn 2.56-2.67
Ca 0.7500 0.8041 0.7521  7 Se 3.00-3.12, 1 Cu 3.28
Cu 0.2500 0.0804 0.5880  4 Se 2.43-2.56, 2 Cu 2.59
Se 0.2500 0.7450 0.4674  3 Cu 2.49-2.56, 1 Mn 2.56
Ca 0.2500 0.1959 0.2479  7 Se 3.00-3.12, 1 Cu 3.28
Cu 0.7500 0.9196 0.4120  4 Se 2.43-2.56, 2 Cu 2.59
Mn 0.7500 0.3233 0.8389  6 Se 2.56-2.67
Se 0.7500 0.4377 0.1442  3 Mn 2.56-2.67
Se 0.7500 0.2550 0.5326  3 Cu 2.49-2.56, 1 Mn 2.56
Mn 0.2500 0.6767 0.1611  6 Se 2.56-2.67
Se 0.7500 0.8959 0.1257  1 Cu 2.43, 2 Mn 2.66
Se 0.2500 0.1041 0.8743  1 Cu 2.43, 2 Mn 2.66

Entry 3:
The following is a PBE-GGA calculation of an optimized crystal structure of CaMn2CuSe4, from the Alexandria database.

## Properties
**V**: 333 Å³ per cell
**Magnetization**: 9.0 μB per formula unit
**Crystal system**: orthorhombic
**SG**: No. 63
**Formation energy (no corrections)**: -699 meV per atom

abc: 3.8576 6.6660 13.5417
angles: 90.00 90.00 106.82
Closest atoms and distances in Å follow each position.
Sites, in units of the cell vectors:
Se 0.4615 0.9229 0.7500  2 Cu 2.39
Se 0.5385 0.0771 0.2500  2 Cu 2.39
Se 0.0000 0.0000 0.0000  4 Mn 2.69
Mn 0.3729 0.7458 0.5692  6 Se 2.67-2.75
Mn 0.6271 0.2542 0.4308  6 Se 2.67-2.75
Mn 0.3729 0.7458 0.9308  6 Se 2.67-2.75
Ca 0.1346 0.2691 0.7500  6 Se 2.93-3.01
Se 0.7339 0.4679 0.6075  1 Cu 2.44, 2 Mn 2.67
Se 0.7339 0.4679 0.8925  1 Cu 2.44, 2 Mn 2.67
Se 0.2661 0.5321 0.1075  1 Cu 2.44, 2 Mn 2.67
Cu 0.1497 0.2994 0.2500  4 Se 2.39-2.44
Mn 0.6271 0.2542 0.0692  6 Se 2.67-2.75
Se 0.2661 0.5321 0.3925  1 Cu 2.44, 2 Mn 2.67
Ca 0.8654 0.7309 0.2500  6 Se 2.93-3.01
Se 0.0000 0.0000 0.5000  4 Mn 2.69
Cu 0.8503 0.7006 0.7500  4 Se 2.39-2.44